Record 1
Here is crystalline FeHg2As at its relaxed geometry from Alexandria. Energies are from PBEsol.

```
data_FeHg2As
_chemical_formula_sum 'Fe1 Hg2 As1'
_symmetry_space_group_name_H-M 'P 4/m m m'
_symmetry_Int_Tables_number 123
_symmetry_space_group_name_Hall '-P 4 2'
_cell_length_a 5.128
_cell_length_b 5.128
_cell_length_c 2.842
_cell_angle_alpha 90.00
_cell_angle_beta 90.00
_cell_angle_gamma 90.00
loop_
_atom_site_label
_atom_site_type_symbol
_atom_site_fract_x
_atom_site_fract_y
_atom_site_fract_z
Fe1 Fe 0.000 0.000 0.000
Hg1 Hg 0.000 0.500 0.500
As1 As 0.500 0.500 0.000
```

## Properties
E	-3.24	eV per atom
V	18.683	Å³/atom
N(E_F)	2.8	states/eV/f.u.
crystal system	tetragonal
spin magnetization	2.85	Bohr magnetons per cell

Record 2
Here is crystalline CaTe3Pb at its relaxed geometry from Alexandria. Energies are from PBEsol.

```
data_CaTe3Pb
_chemical_formula_sum 'Ca1 Te3 Pb1'
_symmetry_space_group_name_H-M 'P m -3 m'
_symmetry_Int_Tables_number 221
_symmetry_space_group_name_Hall '-P 4 2 3'
_cell_length_a 5.737
_cell_length_b 5.737
_cell_length_c 5.737
_cell_angle_alpha 90.00
_cell_angle_beta 90.00
_cell_angle_gamma 90.00
loop_
_atom_site_label
_atom_site_type_symbol
_atom_site_fract_x
_atom_site_fract_y
_atom_site_fract_z
Ca1 Ca 0.000 0.000 0.000
Te1 Te 0.000 0.500 0.500
Pb1 Pb 0.500 0.500 0.500
```

## Properties
V	37.756	Å³/atom
ΔE_f (raw)	-0.0737	eV per atom
N(E_F)	3.3	states/eV/f.u.
crystal system	cubic
spin magnetization	0.00	Bohr magnetons per cell

Record 3
Here is crystalline CdHg2Br at its relaxed geometry from Alexandria. Energies are from PBEsol.

```
data_CdHg2Br
_chemical_formula_sum 'Cd2 Hg4 Br2'
_symmetry_space_group_name_H-M 'C m m m'
_symmetry_Int_Tables_number 65
_symmetry_space_group_name_Hall '-C 2 2'
_cell_length_a 5.911
_cell_length_b 8.762
_cell_length_c 4.139
_cell_angle_alpha 90.00
_cell_angle_beta 90.00
_cell_angle_gamma 90.00
loop_
_atom_site_label
_atom_site_type_symbol
_atom_site_fract_x
_atom_site_fract_y
_atom_site_fract_z
Cd1 Cd 0.000 0.000 0.000
Hg1 Hg 0.000 0.229 0.500
Br1 Br 0.000 0.500 0.000
```

## Properties
offset from the most stable computed form	0	meV per atom
V	26.796	Å³/atom
ΔE_f (raw)	-0.1572	eV per atom
N(E_F)	1.2	states/eV/f.u.
crystal system	orthorhombic
spin magnetization	0.00	Bohr magnetons per cell

Record 4
Here is crystalline Ni3SbH at its relaxed geometry from Alexandria. Energies are from PBEsol.

```
data_Ni3SbH
_chemical_formula_sum 'Ni3 Sb1 H1'
_symmetry_space_group_name_H-M 'P m -3 m'
_symmetry_Int_Tables_number 221
_symmetry_space_group_name_Hall '-P 4 2 3'
_cell_length_a 3.727
_cell_length_b 3.727
_cell_length_c 3.727
_cell_angle_alpha 90.00
_cell_angle_beta 90.00
_cell_angle_gamma 90.00
loop_
_atom_site_label
_atom_site_type_symbol
_atom_site_fract_x
_atom_site_fract_y
_atom_site_fract_z
Ni1 Ni 0.000 0.000 0.500
Sb1 Sb 0.500 0.500 0.500
H1 H 0.000 0.000 0.000
```

## Properties
E	-5.44	eV per atom
V	10.354	Å³/atom
N(E_F)	4.1	states/eV/f.u.
crystal system	cubic
spin magnetization	0.00	Bohr magnetons per cell

Record 5
Here is crystalline MnSi2Au at its relaxed geometry from Alexandria. Energies are from PBEsol.

```
data_MnSi2Au
_chemical_formula_sum 'Mn2 Si4 Au2'
_symmetry_space_group_name_H-M 'C 1 2/m 1'
_symmetry_Int_Tables_number 12
_symmetry_space_group_name_Hall '-C 2y'
_cell_length_a 5.411
_cell_length_b 8.462
_cell_length_c 3.799
_cell_angle_alpha 90.00
_cell_angle_beta 134.42
_cell_angle_gamma 90.00
loop_
_atom_site_label
_atom_site_type_symbol
_atom_site_fract_x
_atom_site_fract_y
_atom_site_fract_z
Mn1 Mn 0.000 0.000 0.000
Si1 Si 0.250 0.250 0.500
Au1 Au 0.000 0.500 0.000
```

## Properties
offset from the most stable computed form	262	meV per atom
V	15.529	Å³/atom
ΔE_f (raw)	0.1726	eV per atom
N(E_F)	2.1	states/eV/f.u.
crystal system	monoclinic
spin magnetization	6.45	Bohr magnetons per cell

Record 6
Here is crystalline KPbS2 at its relaxed geometry from Alexandria. Energies are from PBEsol.

```
data_KPbS2
_chemical_formula_sum 'K4 Pb4 S8'
_symmetry_space_group_name_H-M 'I -4 2 d'
_symmetry_Int_Tables_number 122
_symmetry_space_group_name_Hall 'I -4 2bw'
_cell_length_a 6.954
_cell_length_b 6.954
_cell_length_c 11.778
_cell_angle_alpha 90.00
_cell_angle_beta 90.00
_cell_angle_gamma 90.00
loop_
_atom_site_label
_atom_site_type_symbol
_atom_site_fract_x
_atom_site_fract_y
_atom_site_fract_z
K1 K 0.000 0.000 0.000
Pb1 Pb 0.000 0.000 0.500
S1 S 0.188 0.750 0.625
```

## Properties
V	35.598	Å³/atom
ΔE_f (raw)	-0.5535	eV per atom
N(E_F)	1.8	states/eV/f.u.
crystal system	tetragonal
spin magnetization	0.00	Bohr magnetons per cell

Record 7
Here is crystalline Sm2Re3B6 at its relaxed geometry from Alexandria. Energies are from PBEsol.

```
data_Sm2Re3B6
_chemical_formula_sum 'Sm8 Re12 B24'
_symmetry_space_group_name_H-M 'C 1 2/c 1'
_symmetry_Int_Tables_number 15
_symmetry_space_group_name_Hall '-C 2yc'
_cell_length_a 6.760
_cell_length_b 10.482
_cell_length_c 7.493
_cell_angle_alpha 90.00
_cell_angle_beta 91.01
_cell_angle_gamma 90.00
loop_
_atom_site_label
_atom_site_type_symbol
_atom_site_fract_x
_atom_site_fract_y
_atom_site_fract_z
Sm1 Sm 0.230 0.173 0.175
Re1 Re 0.000 0.086 0.750
Re2 Re 0.103 0.408 0.412
B1 B 0.104 0.046 0.465
B2 B 0.126 0.214 0.521
B3 B 0.199 0.453 0.132
```

## Properties
E	-8.92	eV per atom
V	12.065	Å³/atom
N(E_F)	4.7	states/eV/f.u.
crystal system	monoclinic
spin magnetization	0.00	Bohr magnetons per cell

Record 8
Here is crystalline Fe4SiSe at its relaxed geometry from Alexandria. Energies are from PBEsol.

```
data_Fe4SiSe
_chemical_formula_sum 'Fe16 Si4 Se4'
_symmetry_space_group_name_H-M 'F -4 3 m'
_symmetry_Int_Tables_number 216
_symmetry_space_group_name_Hall 'F -4 2 3'
_cell_length_a 6.641
_cell_length_b 6.641
_cell_length_c 6.641
_cell_angle_alpha 90.00
_cell_angle_beta 90.00
_cell_angle_gamma 90.00
loop_
_atom_site_label
_atom_site_type_symbol
_atom_site_fract_x
_atom_site_fract_y
_atom_site_fract_z
Fe1 Fe 0.125 0.125 0.125
Si1 Si 0.000 0.000 0.500
Se1 Se 0.250 0.250 0.750
```

## Properties
V	12.202	Å³/atom
ΔE_f (raw)	0.3067	eV per atom
N(E_F)	5.1	states/eV/f.u.
crystal system	cubic
spin magnetization	27.88	Bohr magnetons per cell

Record 9
Here is crystalline NbSn2S2 at its relaxed geometry from Alexandria. Energies are from PBEsol.

```
data_NbSn2S2
_chemical_formula_sum 'Nb2 Sn4 S4'
_symmetry_space_group_name_H-M 'I 4/m m m'
_symmetry_Int_Tables_number 139
_symmetry_space_group_name_Hall '-I 4 2'
_cell_length_a 3.707
_cell_length_b 3.707
_cell_length_c 15.823
_cell_angle_alpha 90.00
_cell_angle_beta 90.00
_cell_angle_gamma 90.00
loop_
_atom_site_label
_atom_site_type_symbol
_atom_site_fract_x
_atom_site_fract_y
_atom_site_fract_z
Nb1 Nb 0.000 0.000 0.000
Sn1 Sn 0.000 0.500 0.250
S1 S 0.000 0.000 0.417
```

## Properties
V	21.744	Å³/atom
ΔE_f (raw)	0.4247	eV per atom
N(E_F)	3.2	states/eV/f.u.
crystal system	tetragonal
spin magnetization	2.03	Bohr magnetons per cell

Record 10
Here is crystalline TiZnTe2Br at its relaxed geometry from Alexandria. Energies are from PBEsol.

```
data_TiZnTe2Br
_chemical_formula_sum 'Ti1 Zn1 Te2 Br1'
_symmetry_space_group_name_H-M 'P 4/m m m'
_symmetry_Int_Tables_number 123
_symmetry_space_group_name_Hall '-P 4 2'
_cell_length_a 5.157
_cell_length_b 5.157
_cell_length_c 5.219
_cell_angle_alpha 90.00
_cell_angle_beta 90.00
_cell_angle_gamma 90.00
loop_
_atom_site_label
_atom_site_type_symbol
_atom_site_fract_x
_atom_site_fract_y
_atom_site_fract_z
Ti1 Ti 0.000 0.000 0.000
Zn1 Zn 0.000 0.000 0.500
Te1 Te 0.000 0.500 0.000
Br1 Br 0.500 0.500 0.500
```

## Properties
V	27.754	Å³/atom
ΔE_f (raw)	0.0411	eV per atom
N(E_F)	4.1	states/eV/f.u.
crystal system	tetragonal
spin magnetization	0.00	Bohr magnetons per cell

Record 11
Here is crystalline CaTePCl2 at its relaxed geometry from Alexandria. Energies are from PBEsol.

```
data_CaTePCl2
_chemical_formula_sum 'Ca1 Te1 P1 Cl2'
_symmetry_space_group_name_H-M 'P 4/m m m'
_symmetry_Int_Tables_number 123
_symmetry_space_group_name_Hall '-P 4 2'
_cell_length_a 4.923
_cell_length_b 4.923
_cell_length_c 6.004
_cell_angle_alpha 90.00
_cell_angle_beta 90.00
_cell_angle_gamma 90.00
loop_
_atom_site_label
_atom_site_type_symbol
_atom_site_fract_x
_atom_site_fract_y
_atom_site_fract_z
Ca1 Ca 0.000 0.000 0.000
Te1 Te 0.500 0.500 0.500
P1 P 0.000 0.000 0.500
Cl1 Cl 0.000 0.500 0.000
```

## Properties
V	29.105	Å³/atom
ΔE_f (raw)	-0.3684	eV per atom
N(E_F)	2.5	states/eV/f.u.
crystal system	tetragonal
spin magnetization	1.58	Bohr magnetons per cell

Record 12
Here is crystalline InCu2Tc at its relaxed geometry from Alexandria. Energies are from PBEsol.

```
data_InCu2Tc
_chemical_formula_sum 'In2 Cu4 Tc2'
_symmetry_space_group_name_H-M 'C m m m'
_symmetry_Int_Tables_number 65
_symmetry_space_group_name_Hall '-C 2 2'
_cell_length_a 5.445
_cell_length_b 7.774
_cell_length_c 2.681
_cell_angle_alpha 90.00
_cell_angle_beta 90.00
_cell_angle_gamma 90.00
loop_
_atom_site_label
_atom_site_type_symbol
_atom_site_fract_x
_atom_site_fract_y
_atom_site_fract_z
In1 In 0.000 0.000 0.000
Cu1 Cu 0.250 0.250 0.500
Tc1 Tc 0.000 0.500 0.000
```

## Properties
E	-5.45	eV per atom
V	14.186	Å³/atom
N(E_F)	1.9	states/eV/f.u.
crystal system	orthorhombic
spin magnetization	0.00	Bohr magnetons per cell

Record 13
Here is crystalline KRbRh2Br at its relaxed geometry from Alexandria. Energies are from PBEsol.

```
data_KRbRh2Br
_chemical_formula_sum 'K1 Rb1 Rh2 Br1'
_symmetry_space_group_name_H-M 'P 4/m m m'
_symmetry_Int_Tables_number 123
_symmetry_space_group_name_Hall '-P 4 2'
_cell_length_a 4.784
_cell_length_b 4.784
_cell_length_c 7.095
_cell_angle_alpha 90.00
_cell_angle_beta 90.00
_cell_angle_gamma 90.00
loop_
_atom_site_label
_atom_site_type_symbol
_atom_site_fract_x
_atom_site_fract_y
_atom_site_fract_z
K1 K 0.000 0.000 0.000
Rb1 Rb 0.000 0.000 0.500
Rh1 Rh 0.000 0.500 0.500
Br1 Br 0.500 0.500 0.000
```

## Properties
V	32.481	Å³/atom
ΔE_f (raw)	1.3451	eV per atom
N(E_F)	8.5	states/eV/f.u.
crystal system	tetragonal
spin magnetization	1.11	Bohr magnetons per cell

Record 14
Here is crystalline AgBiAu3 at its relaxed geometry from Alexandria. Energies are from PBEsol.

```
data_AgBiAu3
_chemical_formula_sum 'Ag1 Bi1 Au3'
_symmetry_space_group_name_H-M 'P m -3 m'
_symmetry_Int_Tables_number 221
_symmetry_space_group_name_Hall '-P 4 2 3'
_cell_length_a 5.256
_cell_length_b 5.256
_cell_length_c 5.256
_cell_angle_alpha 90.00
_cell_angle_beta 90.00
_cell_angle_gamma 90.00
loop_
_atom_site_label
_atom_site_type_symbol
_atom_site_fract_x
_atom_site_fract_y
_atom_site_fract_z
Ag1 Ag 0.000 0.000 0.000
Bi1 Bi 0.500 0.500 0.500
Au1 Au 0.000 0.500 0.500
```

## Properties
E	-2.95	eV per atom
V	29.041	Å³/atom
N(E_F)	2.4	states/eV/f.u.
crystal system	cubic
spin magnetization	0.00	Bohr magnetons per cell

Record 15
Here is crystalline AuIN3 at its relaxed geometry from Alexandria. Energies are from PBEsol.

```
data_AuIN3
_chemical_formula_sum 'Au1 I1 N3'
_symmetry_space_group_name_H-M 'P m -3 m'
_symmetry_Int_Tables_number 221
_symmetry_space_group_name_Hall '-P 4 2 3'
_cell_length_a 4.011
_cell_length_b 4.011
_cell_length_c 4.011
_cell_angle_alpha 90.00
_cell_angle_beta 90.00
_cell_angle_gamma 90.00
loop_
_atom_site_label
_atom_site_type_symbol
_atom_site_fract_x
_atom_site_fract_y
_atom_site_fract_z
Au1 Au 0.000 0.000 0.000
I1 I 0.500 0.500 0.500
N1 N 0.000 0.500 0.500
```

## Properties
V	12.910	Å³/atom
ΔE_f (raw)	2.4318	eV per atom
N(E_F)	3.6	states/eV/f.u.
crystal system	cubic
spin magnetization	1.96	Bohr magnetons per cell

Record 16
Here is crystalline KBaAu2 at its relaxed geometry from Alexandria. Energies are from PBEsol.

```
data_KBaAu2
_chemical_formula_sum 'K4 Ba4 Au8'
_symmetry_space_group_name_H-M 'F m -3 m'
_symmetry_Int_Tables_number 225
_symmetry_space_group_name_Hall '-F 4 2 3'
_cell_length_a 7.770
_cell_length_b 7.770
_cell_length_c 7.770
_cell_angle_alpha 90.00
_cell_angle_beta 90.00
_cell_angle_gamma 90.00
loop_
_atom_site_label
_atom_site_type_symbol
_atom_site_fract_x
_atom_site_fract_y
_atom_site_fract_z
K1 K 0.000 0.000 0.000
Ba1 Ba 0.000 0.000 0.500
Au1 Au 0.250 0.250 0.250
```

## Properties
offset from the most stable computed form	44	meV per atom
V	29.324	Å³/atom
N(E_F)	2.1	states/eV/f.u.
crystal system	cubic
spin magnetization	0.00	Bohr magnetons per cell

Record 17
Here is crystalline Ca3Si5 at its relaxed geometry from Alexandria. Energies are from PBEsol.

```
data_Ca3Si5
_chemical_formula_sum 'Ca6 Si10'
_symmetry_space_group_name_H-M 'C m m m'
_symmetry_Int_Tables_number 65
_symmetry_space_group_name_Hall '-C 2 2'
_cell_length_a 8.442
_cell_length_b 8.621
_cell_length_c 4.190
_cell_angle_alpha 90.00
_cell_angle_beta 90.00
_cell_angle_gamma 90.00
loop_
_atom_site_label
_atom_site_type_symbol
_atom_site_fract_x
_atom_site_fract_y
_atom_site_fract_z
Ca1 Ca 0.000 0.000 0.000
Ca2 Ca 0.231 0.500 0.500
Si1 Si 0.000 0.249 0.500
Si2 Si 0.000 0.500 0.000
Si3 Si 0.250 0.250 0.000
```

## Properties
V	19.061	Å³/atom
ΔE_f (raw)	-0.1303	eV per atom
N(E_F)	3.2	states/eV/f.u.
crystal system	orthorhombic
spin magnetization	0.00	Bohr magnetons per cell

Record 18
Here is crystalline Te3MoPd at its relaxed geometry from Alexandria. Energies are from PBEsol.

```
data_Te3MoPd
_chemical_formula_sum 'Te3 Mo1 Pd1'
_symmetry_space_group_name_H-M 'P m -3 m'
_symmetry_Int_Tables_number 221
_symmetry_space_group_name_Hall '-P 4 2 3'
_cell_length_a 5.159
_cell_length_b 5.159
_cell_length_c 5.159
_cell_angle_alpha 90.00
_cell_angle_beta 90.00
_cell_angle_gamma 90.00
loop_
_atom_site_label
_atom_site_type_symbol
_atom_site_fract_x
_atom_site_fract_y
_atom_site_fract_z
Te1 Te 0.000 0.000 0.500
Mo1 Mo 0.500 0.500 0.500
Pd1 Pd 0.000 0.000 0.000
```

## Properties
V	27.456	Å³/atom
ΔE_f (raw)	0.9746	eV per atom
N(E_F)	4.4	states/eV/f.u.
crystal system	cubic
spin magnetization	3.14	Bohr magnetons per cell

Record 19
Here is crystalline LiY2Sc at its relaxed geometry from Alexandria. Energies are from PBEsol.

```
data_LiY2Sc
_chemical_formula_sum 'Li2 Y4 Sc2'
_symmetry_space_group_name_H-M 'I m m 2'
_symmetry_Int_Tables_number 44
_symmetry_space_group_name_Hall 'I 2 -2'
_cell_length_a 3.591
_cell_length_b 5.271
_cell_length_c 10.878
_cell_angle_alpha 90.00
_cell_angle_beta 90.00
_cell_angle_gamma 90.00
loop_
_atom_site_label
_atom_site_type_symbol
_atom_site_fract_x
_atom_site_fract_y
_atom_site_fract_z
Li1 Li 0.000 0.000 0.000
Y1 Y 0.000 0.000 0.487
Y2 Y 0.000 0.500 0.266
Sc1 Sc 0.000 0.500 0.715
```

## Properties
offset from the most stable computed form	5	meV per atom
V	25.736	Å³/atom
N(E_F)	5.6	states/eV/f.u.
crystal system	orthorhombic
spin magnetization	0.00	Bohr magnetons per cell

Record 20
Here is crystalline Tl2SiPb at its relaxed geometry from Alexandria. Energies are from PBEsol.

```
data_Tl2SiPb
_chemical_formula_sum 'Tl6 Si3 Pb3'
_symmetry_space_group_name_H-M 'R 3 m'
_symmetry_Int_Tables_number 160
_symmetry_space_group_name_Hall 'R 3 -2"'
_cell_length_a 3.4314
_cell_length_b 3.4314
_cell_length_c 30.4924
_cell_angle_alpha 90.00
_cell_angle_beta 90.00
_cell_angle_gamma 120.00
loop_
_atom_site_label
_atom_site_type_symbol
_atom_site_fract_x
_atom_site_fract_y
_atom_site_fract_z
Tl1 Tl 0.0000 0.0000 0.0000
Tl2 Tl 0.0000 0.0000 0.2421
Si1 Si 0.0000 0.0000 0.5017
Pb1 Pb 0.0000 0.0000 0.7621
```

## Properties
offset from the most stable computed form	0	meV per atom
V	25.911	Å³/atom
ΔE_f (raw)	0.2694	eV per atom
N(E_F)	1.9	states/eV/f.u.
crystal system	trigonal
spin magnetization	0.00	Bohr magnetons per cell